1.
Here is Mg2TcH after structural relaxation from Alexandria. Energies are from PBE.

The structure in CIF format:
```
data_Mg2TcH
_chemical_formula_sum 'Mg4 Tc2 H2'
_space_group_name_H-M_alt 'P 1'
_space_group_IT_number 1
_space_group_name_Hall 'P 1'
_cell_length_a 5.663
_cell_length_b 5.663
_cell_length_c 5.368
_cell_angle_alpha 58.16
_cell_angle_beta 58.16
_cell_angle_gamma 90.00
loop_
_atom_site_label
_atom_site_fract_x
_atom_site_fract_y
_atom_site_fract_z
_atom_site_occupancy
Tc1 0.750 0.250 0.500 1
Tc2 0.000 0.000 0.000 1
Mg1 0.495 0.125 0.250 1
Mg2 0.875 0.745 0.750 1
Mg3 0.375 0.505 0.750 1
Mg4 0.255 0.625 0.250 1
H1 0.500 0.500 0.000 1
H2 0.250 0.750 0.500 1
```

Output
Excess energy over the best structure of this formula in the dataset: 0.0 kJ per mole of atoms
SG: No. 122
Raw total energy: -3.66 eV/atom

***

2.
Here is Mg2TcH6 after structural relaxation from Alexandria. Energies are from PBE.

The structure in CIF format:
```
data_Mg2TcH6
_chemical_formula_sum 'Mg2 Tc1 H6'
_space_group_name_H-M_alt 'P 1'
_space_group_IT_number 1
_space_group_name_Hall 'P 1'
_cell_length_a 4.749
_cell_length_b 4.749
_cell_length_c 4.749
_cell_angle_alpha 60.00
_cell_angle_beta 60.00
_cell_angle_gamma 60.00
loop_
_atom_site_label
_atom_site_fract_x
_atom_site_fract_y
_atom_site_fract_z
_atom_site_occupancy
H1 0.259 0.741 0.741 1
H2 0.741 0.741 0.259 1
H3 0.259 0.259 0.741 1
H4 0.259 0.741 0.259 1
H5 0.741 0.259 0.259 1
H6 0.741 0.259 0.741 1
Mg1 0.750 0.750 0.750 1
Mg2 0.250 0.250 0.250 1
Tc1 0.000 0.000 0.000 1
```

Output
Excess energy over the best structure of this formula in the dataset: 0.0 kJ per mole of atoms
SG: No. 225
Raw total energy: -3.89 eV/atom

***

3.
Here is Mg3TcH8 after structural relaxation from Alexandria. Energies are from PBE.

The structure in CIF format:
```
data_Mg3TcH8
_chemical_formula_sum 'Mg3 Tc1 H8'
_space_group_name_H-M_alt 'P 1'
_space_group_IT_number 1
_space_group_name_Hall 'P 1'
_cell_length_a 4.545
_cell_length_b 4.545
_cell_length_c 4.545
_cell_angle_alpha 90.00
_cell_angle_beta 90.00
_cell_angle_gamma 90.00
loop_
_atom_site_label
_atom_site_fract_x
_atom_site_fract_y
_atom_site_fract_z
_atom_site_occupancy
H1 0.768 0.768 0.232 1
H2 0.232 0.232 0.768 1
H3 0.768 0.232 0.232 1
H4 0.232 0.768 0.768 1
H5 0.232 0.232 0.232 1
H6 0.232 0.768 0.232 1
H7 0.768 0.232 0.768 1
H8 0.768 0.768 0.768 1
Tc1 0.000 0.000 0.000 1
Mg1 0.000 0.500 0.500 1
Mg2 0.500 0.500 0.000 1
Mg3 0.500 0.000 0.500 1
```

Output
SG: No. 221
Raw total energy: -3.60 eV/atom

***

4.
Here is MgTcH after structural relaxation from Alexandria. Energies are from PBE.

The structure in CIF format:
```
data_MgTcH
_chemical_formula_sum 'Mg1 Tc1 H1'
_space_group_name_H-M_alt 'P 1'
_space_group_IT_number 1
_space_group_name_Hall 'P 1'
_cell_length_a 3.572
_cell_length_b 2.815
_cell_length_c 3.431
_cell_angle_alpha 90.00
_cell_angle_beta 90.00
_cell_angle_gamma 90.00
loop_
_atom_site_label
_atom_site_fract_x
_atom_site_fract_y
_atom_site_fract_z
_atom_site_occupancy
H1 0.500 0.500 0.500 1
Mg1 0.500 0.000 0.000 1
Tc1 0.000 0.500 0.500 1
```

Output
Excess energy over the best structure of this formula in the dataset: 12.5 kJ per mole of atoms
SG: No. 47
Raw total energy: -4.93 eV/atom

***

5.
Here is MgTcH after structural relaxation from Alexandria. Energies are from PBE.

The structure in CIF format:
```
data_MgTcH
_chemical_formula_sum 'Mg3 Tc3 H3'
_space_group_name_H-M_alt 'P 1'
_space_group_IT_number 1
_space_group_name_Hall 'P 1'
_cell_length_a 2.962
_cell_length_b 2.962
_cell_length_c 13.803
_cell_angle_alpha 90.00
_cell_angle_beta 90.00
_cell_angle_gamma 120.00
loop_
_atom_site_label
_atom_site_fract_x
_atom_site_fract_y
_atom_site_fract_z
_atom_site_occupancy
Tc1 0.667 0.333 0.871 1
Tc2 0.000 0.000 0.537 1
Tc3 0.333 0.667 0.204 1
H1 0.333 0.667 0.485 1
H2 0.000 0.000 0.818 1
H3 0.667 0.333 0.152 1
Mg1 0.667 0.333 0.366 1
Mg2 0.000 0.000 0.033 1
Mg3 0.333 0.667 0.700 1
```

Output
Excess energy over the best structure of this formula in the dataset: 3.0 kJ per mole of atoms
SG: No. 160
Raw total energy: -5.03 eV/atom

***

6.
Here is Mg3TcH7 after structural relaxation from Alexandria. Energies are from PBE.

The structure in CIF format:
```
data_Mg3TcH7
_chemical_formula_sum 'Mg6 Tc2 H14'
_space_group_name_H-M_alt 'P 1'
_space_group_IT_number 1
_space_group_name_Hall 'P 1'
_cell_length_a 5.468
_cell_length_b 5.468
_cell_length_c 6.737
_cell_angle_alpha 90.00
_cell_angle_beta 90.00
_cell_angle_gamma 112.86
loop_
_atom_site_label
_atom_site_fract_x
_atom_site_fract_y
_atom_site_fract_z
_atom_site_occupancy
H1 0.424 0.160 0.036 1
H2 0.424 0.160 0.464 1
H3 0.840 0.576 0.964 1
H4 0.892 0.149 0.750 1
H5 0.851 0.108 0.250 1
H6 0.612 0.612 0.250 1
H7 0.840 0.576 0.536 1
H8 0.388 0.388 0.750 1
H9 0.108 0.851 0.250 1
H10 0.576 0.840 0.536 1
H11 0.149 0.892 0.750 1
H12 0.576 0.840 0.964 1
H13 0.160 0.424 0.464 1
H14 0.160 0.424 0.036 1
Mg1 0.475 0.915 0.250 1
Mg2 0.915 0.475 0.250 1
Mg3 0.085 0.525 0.750 1
Mg4 0.000 0.000 0.000 1
Mg5 0.000 0.000 0.500 1
Mg6 0.525 0.085 0.750 1
Tc1 0.500 0.500 0.000 1
Tc2 0.500 0.500 0.500 1
```

Output
Excess energy over the best structure of this formula in the dataset: 9.8 kJ per mole of atoms
SG: No. 63
Raw total energy: -3.71 eV/atom